The following is a PBE calculation of Sr3AcGe4 after structural relaxation, from the Alexandria database.

## Properties
Total energy   -31.13 eV for the cell shown
Calculated formation energy   -0.4388 eV/atom
Space-group type   No. 71

Structure (extended XYZ):
```
8
Lattice="-3.7384 2.4093 -0.6379 -2.9781 -5.3951 -2.9240 0.3636 -1.0870 9.5876" Properties=species:S:1:pos:R:3 pbc="T T T"
Ge -2.7482 -2.8652 5.2841
Ge -3.6047 -1.2075 0.7416
Ge -4.6514 -3.1038 -0.2865
Ge -1.7015 -0.9690 6.3122
Ac -1.8692 1.2047 -0.3189
Sr -1.1678 -1.0055 3.0461
Sr -1.4890 -2.6975 -1.4620
Sr -5.1851 -3.0672 2.9796
```


The following is a PBE calculation of SrAcGe4 after structural relaxation, from the Alexandria database.

## Properties
Total energy   -27.44 eV for the cell shown
Calculated formation energy   -0.5293 eV/atom
Space-group type   No. 71

Structure (extended XYZ):
```
6
Lattice="4.1042 0.0000 1.3896 1.8996 6.0365 1.1450 0.1104 0.0954 6.4294" Properties=species:S:1:pos:R:3 pbc="T T T"
Ge 4.8729 5.5844 5.8746
Ge 1.8259 2.4889 1.3627
Ge 4.2883 3.6430 7.6014
Ge 1.2413 0.5475 3.0895
Sr 0.0000 0.0000 0.0000
Ac 3.0571 3.0659 4.4820
```


The following is a PBE calculation of SrAc2Ge6 after structural relaxation, from the Alexandria database.

## Properties
Total energy   -42.56 eV for the cell shown
Calculated formation energy   -0.5513 eV/atom
Space-group type   No. 191

Structure (extended XYZ):
```
9
Lattice="4.4885 0.0000 0.0000 0.0000 6.7802 -3.9145 0.0000 0.0000 7.8290" Properties=species:S:1:pos:R:3 pbc="T T T"
Sr 0.0000 0.0000 0.0000
Ge 2.2442 6.7801 -1.3023
Ge 2.2442 2.2623 1.3061
Ge 2.2442 2.2623 -1.3061
Ge 2.2442 4.5179 5.2206
Ge 2.2442 0.0000 5.2168
Ge 2.2442 4.5179 2.6084
Ac 0.0000 2.2600 3.9145
Ac 4.4885 4.5201 0.0000
```


The following is a PBE calculation of SrAc3Ge4 after structural relaxation, from the Alexandria database.

## Properties
Total energy   -36.99 eV for the cell shown
Calculated formation energy   -0.5641 eV/atom
Space-group type   No. 71

Structure (extended XYZ):
```
8
Lattice="-1.4080 4.2574 0.0001 -3.3723 -1.1155 5.7253 9.4576 0.7663 1.7554" Properties=species:S:1:pos:R:3 pbc="T T T"
Ac 1.8967 2.9886 5.6646
Ac 2.7807 0.9196 1.8162
Ac -1.6862 -0.5577 2.8626
Ge 5.8371 1.9304 2.3592
Ge 4.5978 1.5204 4.4604
Ge 0.0795 2.3877 3.0204
Ge -1.1598 1.9778 5.1216
Sr -0.7040 2.1287 0.0001
```


The following is a PBE calculation of Sr2Ac3Ge3 after structural relaxation, from the Alexandria database.

## Properties
Total energy   -32.78 eV for the cell shown
Calculated formation energy   -0.4054 eV/atom
Space-group type   No. 71

Structure (extended XYZ):
```
8
Lattice="3.7930 0.0000 0.0000 0.0000 5.4562 0.0000 -1.8965 -2.7281 14.0372" Properties=species:S:1:pos:R:3 pbc="T T T"
Ge 0.0000 2.7281 0.0000
Ge 0.0000 0.0000 3.0603
Ge 1.8965 2.7281 10.9769
Sr 1.8965 0.0000 5.6325
Sr 0.0000 2.7281 8.4047
Ac 1.8965 0.0000 0.0000
Ac 1.8965 2.7281 2.7242
Ac 0.0000 0.0000 11.3130
```


The following is a PBE calculation of Sr4AcGe4 after structural relaxation, from the Alexandria database.

## Properties
Total energy   -66.59 eV for the cell shown
Calculated formation energy   -0.4435 eV/atom
Space-group type   No. 86

Structure (extended XYZ):
```
18
Lattice="6.4415 0.0000 0.0000 0.0000 9.8771 0.0000 0.0000 0.0000 9.8771" Properties=species:S:1:pos:R:3 pbc="T T T"
Sr 2.4147 3.1250 9.0129
Sr 5.6355 5.8027 8.0636
Sr 4.0268 9.0129 6.7521
Sr 2.4147 6.7521 0.8642
Sr 4.0268 0.8642 3.1250
Sr 0.8060 1.8135 5.8027
Sr 5.6355 4.0744 1.8135
Sr 0.8060 8.0636 4.0744
Ge 5.5155 2.6159 8.5095
Ge 5.5155 7.2612 1.3676
Ge 0.9259 1.3676 2.6159
Ge 2.2948 6.3062 7.5544
Ge 4.1467 2.3227 6.3062
Ge 0.9259 8.5095 7.2612
Ge 4.1467 7.5544 3.5709
Ge 2.2948 3.5709 2.3227
Ac 0.0000 0.0000 0.0000
Ac 3.2207 4.9386 4.9386
```


The following is a PBE calculation of SrAc2Ge after structural relaxation, from the Alexandria database.

## Properties
Total energy   -15.59 eV for the cell shown
Calculated formation energy   -0.2686 eV/atom
Space-group type   No. 160

Structure (extended XYZ):
```
4
Lattice="-2.3185 -3.5433 -1.2476 0.3102 -3.7598 2.2921 -8.9541 0.7516 6.6955" Properties=species:S:1:pos:R:3 pbc="T T T"
Ge -1.3508 -4.8641 0.7055
Sr -5.4694 -3.2803 3.8610
Ac -2.0409 -1.9069 1.3990
Ac -7.5824 0.2241 5.6446
```


The following is a PBE calculation of SrAc3Ge after structural relaxation, from the Alexandria database.

## Properties
Total energy   -78.38 eV for the cell shown
Calculated formation energy   -0.1943 eV/atom
Space-group type   No. 14

Structure (extended XYZ):
```
20
Lattice="-2.3116 -8.7788 0.0400 8.9875 -2.3565 2.2205 -7.4268 1.9912 7.8071" Properties=species:S:1:pos:R:3 pbc="T T T"
Ac 2.4565 -5.6674 5.1487
Ac -3.2075 -3.4767 4.9189
Ac 5.6440 -7.2895 3.5111
Ac 0.8758 -2.0140 5.7107
Ac -5.0755 -5.1292 8.2559
Ac 4.3245 -4.0149 1.8117
Ac 1.4893 -0.7378 0.9983
Ac -2.0800 -0.5657 2.6426
Ac -2.2403 -8.4063 9.0692
Ac -6.3950 -1.8546 6.5565
Ac 1.3290 -8.5784 7.4250
Ac -1.6268 -7.1301 4.3569
Sr 1.9228 -9.3882 3.8342
Sr -0.8753 -4.9165 7.7219
Sr -2.6738 0.2441 6.2334
Sr 0.1243 -4.2276 2.3457
Ge 7.5299 -4.6822 2.2260
Ge -8.2809 -4.4619 7.8416
Ge -4.7461 -6.1357 3.9412
Ge 3.9951 -3.0084 6.1264
```


The following is a PBE calculation of SrAc4Ge2 after structural relaxation, from the Alexandria database.

## Properties
Total energy   -59.11 eV for the cell shown
Calculated formation energy   -0.3148 eV/atom
Space-group type   No. 1

Structure (extended XYZ):
```
14
Lattice="-5.2336 6.3442 2.2762 -4.6241 -5.6854 -2.3813 4.6470 -3.3640 7.9575" Properties=species:S:1:pos:R:3 pbc="T T T"
Ge 1.8012 -3.3138 5.7402
Ge -4.5299 0.5504 3.1265
Ge -0.8032 -0.0505 6.6490
Ge -6.7810 -1.7613 0.4973
Sr -0.6756 1.9477 9.4768
Sr -2.5632 -5.5871 2.6305
Ac -5.5680 -2.4994 3.6559
Ac -1.3724 0.6270 3.3239
Ac -3.6290 -1.6485 0.6647
Ac -1.4015 -3.1198 5.8073
Ac -4.6580 3.3528 4.6952
Ac 1.5736 -1.3294 8.3472
Ac -4.0004 0.2179 6.5021
Ac -6.9293 1.3481 1.2694
```


The following is a PBE calculation of SrAc2Ge6 after structural relaxation, from the Alexandria database.

## Properties
Total energy   -41.84 eV for the cell shown
Calculated formation energy   -0.4712 eV/atom
Space-group type   No. 71

Structure (extended XYZ):
```
9
Lattice="4.5577 0.0000 0.0000 0.0000 7.2131 0.0000 -2.2789 -3.6065 7.6512" Properties=species:S:1:pos:R:3 pbc="T T T"
Ge 2.2789 1.2461 0.0000
Ge 2.2789 4.8725 2.2252
Ge 0.0000 -1.2660 5.4260
Ge 2.2789 5.9669 0.0000
Ge 2.2789 2.3406 2.2252
Ge 0.0000 1.2660 5.4260
Ac 2.2789 3.6065 5.2202
Ac 0.0000 0.0000 2.4310
Sr 0.0000 3.6065 0.0000
```


The following is a PBE calculation of Sr3Ac3Ge4 after structural relaxation, from the Alexandria database.

## Properties
Total energy   -41.97 eV for the cell shown
Calculated formation energy   -0.6131 eV/atom
Space-group type   No. 38

Structure (extended XYZ):
```
10
Lattice="-2.5296 0.4016 -4.0336 -6.5328 -3.3091 3.7674 -2.3926 7.5514 2.2522" Properties=species:S:1:pos:R:3 pbc="T T T"
Sr -5.6169 5.8911 4.1089
Sr -4.3712 5.8796 0.4967
Sr -1.2292 3.8056 1.1498
Ge -7.8890 3.7966 5.3253
Ge -1.0061 0.5251 0.6832
Ge -4.0138 3.2987 2.8455
Ge -4.9443 0.8578 3.1861
Ac -4.1759 1.5727 -0.0546
Ac -7.0830 -1.2337 1.4890
Ac -7.2866 3.0513 2.0434
```


The following is a PBE calculation of Sr2AcGe after structural relaxation, from the Alexandria database.

## Properties
Total energy   -12.87 eV for the cell shown
Calculated formation energy   -0.1964 eV/atom
Space-group type   No. 123

Structure (extended XYZ):
```
4
Lattice="-1.9612 3.2868 -0.1593 -3.2822 -1.9406 0.3688 0.6465 0.8923 10.4491" Properties=species:S:1:pos:R:3 pbc="T T T"
Ac -2.2984 1.1193 5.3293
Sr 0.5283 0.7291 8.5377
Sr 0.1183 0.1632 1.9114
Ge -2.6217 0.6731 0.1047
```


The following is a PBE calculation of Sr2AcGe6 after structural relaxation, from the Alexandria database.

## Properties
Total energy   -39.70 eV for the cell shown
Calculated formation energy   -0.5030 eV/atom
Space-group type   No. 191

Structure (extended XYZ):
```
9
Lattice="4.4667 0.0000 0.0000 0.0000 6.7844 -3.9170 0.0000 0.0000 7.8339" Properties=species:S:1:pos:R:3 pbc="T T T"
Ge 2.2334 4.5263 5.2207
Ge 2.2334 0.0000 5.2265
Ge 2.2334 4.5263 2.6133
Ge 2.2334 2.2581 -1.3037
Ge 2.2334 6.7844 -1.3096
Ge 2.2334 2.2581 1.3037
Sr 4.4667 4.5229 0.0000
Sr 0.0000 2.2615 3.9170
Ac 0.0000 0.0000 0.0000
```


The following is a PBE calculation of SrAc2Ge after structural relaxation, from the Alexandria database.

## Properties
Total energy   -15.52 eV for the cell shown
Calculated formation energy   -0.2514 eV/atom
Space-group type   No. 123

Structure (extended XYZ):
```
4
Lattice="-3.9475 -0.0828 -0.8735 -0.4819 -3.1596 2.4774 -1.8046 6.2083 7.5667" Properties=species:S:1:pos:R:3 pbc="T T T"
Ge -2.2147 -1.6212 0.8019
Sr -3.1171 1.4829 4.5853
Ac -1.5020 5.1672 6.2978
Ac -0.3026 1.0411 1.2689
```


The following is a PBE calculation of SrAcGe6 after structural relaxation, from the Alexandria database.

## Properties
Total energy   -36.54 eV for the cell shown
Calculated formation energy   -0.3810 eV/atom
Space-group type   No. 187

Structure (extended XYZ):
```
8
Lattice="-1.2563 4.3534 -2.6002 -4.3822 -3.3470 -3.4864 -1.7691 2.8359 5.6026" Properties=species:S:1:pos:R:3 pbc="T T T"
Ge -4.4317 0.7218 3.3497
Ge -2.9415 0.8941 -2.3297
Ge -4.7086 -0.4562 -3.7367
Ge -3.3767 -0.9678 0.0112
Ge -5.4213 0.6880 -1.4766
Ge -0.7647 1.0265 2.0881
Sr -3.4857 2.4371 0.5165
Ac -1.9869 2.3205 4.8450
```


The following is a PBE calculation of SrAc2Zn3Ge4 after structural relaxation, from the Alexandria database.

## Properties
Total energy   -36.36 eV for the cell shown
Calculated formation energy   -0.4175 eV/atom
Space-group type   No. 115

Structure (extended XYZ):
```
10
Lattice="-0.3597 -2.1165 4.1011 0.6312 -4.0974 -2.0593 11.2599 0.9831 1.4950" Properties=species:S:1:pos:R:3 pbc="T T T"
Sr 5.7657 -2.6154 1.7684
Ge 0.1357 -3.1070 1.0209
Ge 7.3612 -0.3998 3.0518
Ge 0.0000 0.0000 0.0000
Ge 4.0344 -1.7240 -0.5359
Zn 5.6299 0.4916 0.7475
Zn 9.8469 -0.1828 3.3818
Zn 1.5487 -1.9410 -0.8659
Ac 2.2808 -0.8434 2.3772
Ac 9.1148 -1.2804 0.1387
```


The following is a PBE calculation of Sr2AcZn2Ge2 after structural relaxation, from the Alexandria database.

## Properties
Total energy   -22.71 eV for the cell shown
Calculated formation energy   -0.4941 eV/atom
Space-group type   No. 166

Structure (extended XYZ):
```
7
Lattice="4.3585 0.0000 0.0000 2.1793 3.7746 0.0000 2.1793 1.2582 12.7930" Properties=species:S:1:pos:R:3 pbc="T T T"
Sr 2.1793 1.2582 8.2461
Sr 6.5378 3.7746 4.5469
Zn 4.3585 2.5164 2.2582
Zn 4.3585 2.5164 10.5349
Ge 6.5378 3.7746 10.4868
Ge 2.1793 1.2582 2.3062
Ac 0.0000 0.0000 0.0000
```


The following is a PBE calculation of SrAc2Zn2Ge2 after structural relaxation, from the Alexandria database.

## Properties
Total energy   -24.74 eV for the cell shown
Calculated formation energy   -0.4367 eV/atom
Space-group type   No. 166

Structure (extended XYZ):
```
7
Lattice="4.3213 0.0000 0.0000 2.1607 3.7424 0.0000 2.1607 1.2475 12.7541" Properties=species:S:1:pos:R:3 pbc="T T T"
Ge 2.1607 1.2475 2.2911
Ge 6.4820 3.7424 10.4630
Ac 2.1607 1.2475 8.1706
Ac 6.4820 3.7424 4.5835
Sr 0.0000 0.0000 0.0000
Zn 4.3213 2.4949 2.4003
Zn 4.3213 2.4949 10.3537
```


The following is a PBE calculation of SrAcZn2Ge2 after structural relaxation, from the Alexandria database.

## Properties
Total energy   -21.05 eV for the cell shown
Calculated formation energy   -0.5801 eV/atom
Space-group type   No. 164

Structure (extended XYZ):
```
6
Lattice="-3.5362 0.9713 2.3850 0.7877 -4.1449 -1.1559 4.8220 -1.2156 7.6446" Properties=species:S:1:pos:R:3 pbc="T T T"
Ac 0.0000 0.0000 0.0000
Zn -0.9292 -1.0279 3.0527
Zn 3.0027 -3.3612 5.8210
Sr 2.4110 -0.6078 3.8223
Ge 0.5573 -2.7447 1.9441
Ge 1.5162 -1.6444 6.9296
```


The following is a PBE calculation of AcTa2Ge2 after structural relaxation, from the Alexandria database.

## Properties
Total energy   -39.26 eV for the cell shown
Calculated formation energy   -0.4431 eV/atom
Space-group type   No. 139

Structure (extended XYZ):
```
5
Lattice="0.6647 0.5510 -4.1003 -1.2470 -3.9331 -0.7307 -5.5894 3.6828 1.7298" Properties=species:S:1:pos:R:3 pbc="T T T"
Ge -1.6116 -1.2438 -2.5694
Ge -4.5599 1.5445 -0.5317
Ta -3.5637 -0.9706 -0.7082
Ta -2.6079 1.2714 -2.3930
Ac 0.0000 0.0000 0.0000
```